{
  "formula": "Hf2Zn6Ag",
  "functional": "PBE",
  "state": "relaxed",
  "rho_g_cm3": 9.51,
  "sg": "P6/mmm",
  "n_ef_per_ev_atom": 0.48,
  "magnetic_moment_mub_per_cell": 0.00,
  "formation_enthalpy_0k_mev_per_atom": -151,
  "polymorph_energy_ev_per_atom": 0.000,
  "lattice": [[2.9773, -0.0002, 0.0006], [0.0007, 6.6061, 3.7986], [-0.0006, 0.0132, 7.6204]],
  "species": ["Hf", "Hf", "Zn", "Zn", "Zn", "Zn", "Zn", "Zn", "Ag"],
  "frac_coords": [[0.0000, 0.3333, 0.3333], [0.0000, 0.6667, 0.6667], [0.4994, 0.6683, 0.0000], [0.4994, 0.0000, 0.6683], [0.5006, 0.0000, 0.3317], [0.5006, 0.3317, 0.0000], [0.5000, 0.3317, 0.6683], [0.5000, 0.6683, 0.3317], [0.0000, 0.0000, 0.0000]]
}

---

{
  "formula": "LaInAs",
  "functional": "PBE",
  "state": "relaxed",
  "rho_g_cm3": 6.67,
  "sg": "P-6m2",
  "n_ef_per_ev_atom": 0.57,
  "magnetic_moment_mub_per_cell": 0.00,
  "formation_enthalpy_0k_mev_per_atom": -664,
  "lattice": [[-4.3883, -0.9436, -1.7235], [3.8697, -0.6881, -2.7695], [0.2911, -3.8398, 1.3609]],
  "species": ["As", "La", "In"],
  "frac_coords": [[0.0000, 0.0000, 0.1668], [0.3333, 0.6667, 0.6667], [0.6667, 0.3333, 0.1665]]
}

---

{
  "formula": "CaSc4Au",
  "functional": "PBE",
  "state": "relaxed",
  "rho_g_cm3": 4.60,
  "sg": "F-43m",
  "n_ef_per_ev_atom": 1.59,
  "magnetic_moment_mub_per_cell": 0.00,
  "formation_enthalpy_0k_mev_per_atom": 201,
  "lattice": [[-3.7234, -4.6297, -0.5938], [-5.8852, 0.8052, 0.6055], [-3.5700, -0.3670, -4.7719]],
  "species": ["Sc", "Sc", "Sc", "Sc", "Au", "Ca"],
  "frac_coords": [[0.3758, 0.8727, 0.3758], [0.3758, 0.3758, 0.3758], [0.8727, 0.3758, 0.3758], [0.3758, 0.3758, 0.8727], [0.7500, 0.7500, 0.7500], [0.0000, 0.0000, 0.0000]]
}

---

{
  "formula": "Ta2PAu",
  "functional": "PBE",
  "state": "relaxed",
  "rho_g_cm3": 14.46,
  "sg": "Cm",
  "n_ef_per_ev_atom": 0.78,
  "magnetic_moment_mub_per_cell": 0.00,
  "formation_enthalpy_0k_mev_per_atom": -122,
  "lattice": [[1.5603, 4.8562, -0.0011], [-1.5603, 4.8562, -0.0011], [0.0000, 1.1881, 4.4702]],
  "species": ["Ta", "Ta", "P", "Au"],
  "frac_coords": [[0.7623, 0.7623, 0.6941], [0.9697, 0.9697, 0.0823], [0.2568, 0.2568, 0.1710], [0.5112, 0.5112, 0.5526]]
}

---

{
  "formula": "BaCu3Si",
  "functional": "PBE",
  "state": "relaxed",
  "rho_g_cm3": 5.76,
  "raw_formation_energy_kj_per_mol_atoms": -0.3,
  "sg": "Pm-3m",
  "n_ef_per_ev_atom": 0.40,
  "magnetic_moment_mub_per_cell": 0.00,
  "polymorph_energy_ev_per_atom": 0.121,
  "lattice": [[-1.3082, -3.9517, -2.1414], [4.3536, -1.6684, 0.4192], [-1.1171, -1.8744, 4.1414]],
  "species": ["Cu", "Cu", "Cu", "Ba", "Si"],
  "frac_coords": [[0.5000, 0.0000, 0.0000], [0.0000, 0.5000, 0.0000], [0.0000, 0.0000, 0.5000], [0.5000, 0.5000, 0.5000], [0.0000, 0.0000, 0.0000]]
}

---

{
  "formula": "CoPb3Se",
  "functional": "PBE",
  "state": "relaxed",
  "rho_g_cm3": 6.99,
  "raw_formation_energy_kj_per_mol_atoms": 89.4,
  "sg": "Pm-3m",
  "n_ef_per_ev_atom": 2.61,
  "magnetic_moment_mub_per_cell": 2.05,
  "polymorph_energy_ev_per_atom": 0.908,
  "lattice": [[5.6508, 0.0000, 0.0000], [0.0000, 5.6508, 0.0000], [0.0000, 0.0000, 5.6508]],
  "species": ["Pb", "Pb", "Pb", "Co", "Se"],
  "frac_coords": [[0.5000, 0.0000, 0.0000], [0.0000, 0.5000, 0.0000], [0.0000, 0.0000, 0.5000], [0.5000, 0.5000, 0.5000], [0.0000, 0.0000, 0.0000]]
}

---

{
  "formula": "LaMgNi",
  "functional": "PBE",
  "state": "relaxed",
  "rho_g_cm3": 4.36,
  "sg": "F-43m",
  "n_ef_per_ev_atom": 1.18,
  "magnetic_moment_mub_per_cell": 0.00,
  "formation_enthalpy_0k_mev_per_atom": 566,
  "lattice": [[-3.0228, 3.2776, -2.0901], [-2.8112, -1.3286, -3.8184], [-4.8725, -0.4353, 0.5636]],
  "species": ["Mg", "Ni", "La"],
  "frac_coords": [[0.0000, 0.0000, 0.0000], [0.5000, 0.5000, 0.5000], [0.7500, 0.7500, 0.7500]]
}

---

{
  "formula": "KGa3O",
  "functional": "PBE",
  "state": "relaxed",
  "rho_g_cm3": 3.91,
  "raw_formation_energy_kj_per_mol_atoms": -8.4,
  "sg": "Pm-3m",
  "n_ef_per_ev_atom": 0.43,
  "magnetic_moment_mub_per_cell": 0.00,
  "polymorph_energy_ev_per_atom": 0.000,
  "lattice": [[4.8227, 0.0000, 0.0000], [0.0000, 4.8227, 0.0000], [0.0000, 0.0000, 4.8227]],
  "species": ["Ga", "Ga", "Ga", "K", "O"],
  "frac_coords": [[0.0000, 0.5000, 0.0000], [0.0000, 0.0000, 0.5000], [0.5000, 0.0000, 0.0000], [0.5000, 0.5000, 0.5000], [0.0000, 0.0000, 0.0000]]
}

---

{
  "formula": "Fe2AsP",
  "functional": "PBE",
  "state": "relaxed",
  "rho_g_cm3": 7.01,
  "sg": "Cm",
  "n_ef_per_ev_atom": 0.49,
  "magnetic_moment_mub_per_cell": 0.66,
  "formation_enthalpy_0k_mev_per_atom": -172,
  "lattice": [[-0.3130, -4.0056, -0.7422], [0.5989, -3.4817, 2.0526], [-4.2759, -1.0131, 1.5852]],
  "species": ["Fe", "Fe", "As", "P"],
  "frac_coords": [[0.2239, 0.2239, 0.3876], [0.0077, 0.0077, 0.9888], [0.7516, 0.7516, 0.7883], [0.5167, 0.5167, 0.3353]]
}

---

{
  "formula": "HgMo7",
  "functional": "PBE",
  "state": "relaxed",
  "rho_g_cm3": 11.11,
  "sg": "Fm-3m",
  "n_ef_per_ev_atom": 0.68,
  "magnetic_moment_mub_per_cell": 0.00,
  "formation_enthalpy_0k_mev_per_atom": 406,
  "lattice": [[0.0000, 4.0249, 4.0249], [4.0249, 0.0000, 4.0249], [4.0249, 4.0249, 0.0000]],
  "species": ["Mo", "Mo", "Mo", "Mo", "Mo", "Mo", "Mo", "Hg"],
  "frac_coords": [[0.5000, 0.0000, 0.0000], [0.0000, 0.0000, 0.5000], [0.5000, 0.5000, 0.0000], [0.0000, 0.5000, 0.5000], [0.0000, 0.5000, 0.0000], [0.5000, 0.0000, 0.5000], [0.5000, 0.5000, 0.5000], [0.0000, 0.0000, 0.0000]]
}

---

{
  "formula": "Cu6Au",
  "functional": "PBE",
  "state": "relaxed",
  "rho_g_cm3": 10.58,
  "sg": "R-3m",
  "n_ef_per_ev_atom": 0.22,
  "magnetic_moment_mub_per_cell": 0.00,
  "formation_enthalpy_0k_mev_per_atom": 24,
  "polymorph_energy_ev_per_atom": 0.000,
  "lattice": [[3.9430, 0.0000, 1.3535], [1.7392, 3.5387, 1.3535], [-0.0241, -0.0150, 6.4904]],
  "species": ["Cu", "Cu", "Cu", "Cu", "Cu", "Cu", "Au"],
  "frac_coords": [[0.1449, 0.1449, 0.5654], [0.2800, 0.2800, 0.1601], [0.7200, 0.7200, 0.8399], [0.4301, 0.4301, 0.7096], [0.5699, 0.5699, 0.2904], [0.8551, 0.8551, 0.4346], [0.0000, 0.0000, 0.0000]]
}

---

{
  "formula": "Tb5Sm2Hg",
  "functional": "PBE",
  "state": "relaxed",
  "rho_g_cm3": 8.80,
  "sg": "Cm",
  "n_ef_per_ev_atom": 0.92,
  "magnetic_moment_mub_per_cell": 0.00,
  "formation_enthalpy_0k_mev_per_atom": -53,
  "lattice": [[-4.2540, -3.3055, 4.5803], [7.0322, -6.5850, 1.7708], [-0.1491, 6.9749, -0.5647]],
  "species": ["Tb", "Tb", "Tb", "Tb", "Tb", "Sm", "Sm", "Hg"],
  "frac_coords": [[0.7880, 0.7873, 0.5745], [0.2228, 0.6884, 0.9298], [0.7079, 0.2414, 0.9309], [0.7081, 0.6894, 0.9307], [0.2226, 0.2418, 0.9310], [0.6786, 0.1797, 0.3594], [0.2222, 0.7221, 0.4438], [0.2267, 0.2267, 0.4539]]
}